ZrZnAs2Br GGA-PBEsol optimized geometry; formation energy (no corrections) = 109 meV per atom; density of states at the Fermi level = 4.70 states/eV/cell; space-group type = P4/mmm; electronic total energy = -22.2 eV per cell
1.0
5.168 0.000 0.000
0.000 5.168 0.000
0.000 0.000 5.188
Zr Zn As Br
1 1 2 1
Cartesian
0.000 0.000 0.000
2.584 2.584 2.594
0.000 2.584 0.000
2.584 0.000 0.000
0.000 0.000 2.594